# 1
A plane-wave DFT calculation with PBE was carried out for crystalline TaRuRh4 at its relaxed geometry.

Summary:
**Formation energy**: 0.62 eV/f.u.
**Crystal system**: cubic

abc: 5.0638 5.0638 5.0638
angles: 60.00 60.00 60.00
Closest atoms and distances in Å follow each position.
Sites, in units of the cell vectors:
Ta: 0.0000 0.0000 0.0000  12 Rh 2.97, 4 Ru 3.10
Ru: 0.7500 0.7500 0.7500  12 Rh 2.97, 4 Ta 3.10
Rh: 0.3756 0.3756 0.3756  6 Rh 2.52-2.54
Rh: 0.3756 0.3756 0.8733  6 Rh 2.52-2.54
Rh: 0.3756 0.8733 0.3756  6 Rh 2.52-2.54
Rh: 0.8733 0.3756 0.3756  6 Rh 2.52-2.54

---

# 2
A plane-wave DFT calculation with PBE was carried out for crystalline SrLi2BeAs at its relaxed geometry.

Summary:
**Formation energy**: 0.25 eV/f.u.
**Crystal system**: tetragonal

abc: 4.8456 4.8456 6.0781
angles: 90.00 90.00 90.00
Closest atoms and distances in Å follow each position.
Sites, in units of the cell vectors:
Sr: 0.0000 0.0000 0.0000  2 As 3.04
Li: 0.0000 0.5000 0.5000  2 As 2.42
Li: 0.5000 0.0000 0.5000  2 As 2.42
Be: 0.5000 0.5000 0.0000  4 Sr 3.43
As: 0.0000 0.0000 0.5000  4 Li 2.42

---

# 3
A plane-wave DFT calculation with PBE was carried out for crystalline La3Y at its relaxed geometry.

Summary:
**Formation energy**: 0.05 eV/f.u.
**Crystal system**: trigonal

abc: 3.7034 3.7034 35.9548
angles: 90.00 90.00 120.00
Closest atoms and distances in Å follow each position.
Sites, in units of the cell vectors:
La: 0.0000 0.0000 0.0000  12 La 3.70-3.73
La: 0.0000 0.0000 0.2484  3 Y 3.63, 9 La 3.70-3.73
La: 0.0000 0.0000 0.7516  3 Y 3.63, 9 La 3.70-3.73
La: 0.3333 0.6667 0.4183  3 Y 3.63, 9 La 3.70-3.73
La: 0.3333 0.6667 0.6667  12 La 3.70-3.73
La: 0.3333 0.6667 0.9150  3 Y 3.63, 9 La 3.70-3.73
La: 0.6667 0.3333 0.0850  3 Y 3.63, 9 La 3.70-3.73
La: 0.6667 0.3333 0.3333  12 La 3.70-3.73
La: 0.6667 0.3333 0.5817  3 Y 3.63, 9 La 3.70-3.73
Y: 0.0000 0.0000 0.5000  6 La 3.63, 6 Y 3.70
Y: 0.3333 0.6667 0.1667  6 La 3.63, 6 Y 3.70
Y: 0.6667 0.3333 0.8333  6 La 3.63, 6 Y 3.70